# 1
# TlSbPb2 | Alexandria | PBE-GGA | optimized geometry
data_TlSbPb2
_chemical_formula_sum 'Tl1 Sb1 Pb2'
_symmetry_space_group_name_H-M 'P 1'
_symmetry_Int_Tables_number 1
_cell_length_a 6.171
_cell_length_b 6.770
_cell_length_c 3.427
_cell_angle_alpha 75.94
_cell_angle_beta 88.72
_cell_angle_gamma 116.75
loop_
_symmetry_equiv_pos_as_xyz
'x,y,z'
loop_
_atom_site_label
_atom_site_type_symbol
_atom_site_fract_x
_atom_site_fract_y
_atom_site_fract_z
Sb1 Sb 0.000 0.500 0.500
Pb1 Pb 0.500 0.000 0.500
Pb2 Pb 0.000 0.000 0.000
Tl1 Tl 0.500 0.500 0.000
# Formation energy (no corrections) ... 0.05 eV/atom
# Density ... 10.0 g/cm3
# Energy above the lowest structure with this stoichiometry ... 0.037 eV per atom
# Final energy ... -0.1259 Ha/atom

---

# 2
# La2IrAu | Alexandria | PBE-GGA | optimized geometry
data_La2IrAu
_chemical_formula_sum 'La2 Ir1 Au1'
_symmetry_space_group_name_H-M 'P 1'
_symmetry_Int_Tables_number 1
_cell_length_a 3.695
_cell_length_b 3.629
_cell_length_c 8.352
_cell_angle_alpha 63.66
_cell_angle_beta 90.00
_cell_angle_gamma 90.00
loop_
_symmetry_equiv_pos_as_xyz
'x,y,z'
loop_
_atom_site_label
_atom_site_type_symbol
_atom_site_fract_x
_atom_site_fract_y
_atom_site_fract_z
La1 La 0.000 0.027 0.980
La2 La 0.000 0.473 0.520
Ir1 Ir 0.500 0.750 0.750
Au1 Au 0.500 0.250 0.250
# Density ... 11.0 g/cm3
# Final energy ... -0.2287 Ha/atom

---

# 3
# Sm5Y3Ho | Alexandria | PBE-GGA | optimized geometry
data_Sm5Y3Ho
_chemical_formula_sum 'Sm10 Y6 Ho2'
_symmetry_space_group_name_H-M 'P 1'
_symmetry_Int_Tables_number 1
_cell_length_a 9.591
_cell_length_b 9.591
_cell_length_c 11.734
_cell_angle_alpha 52.87
_cell_angle_beta 52.87
_cell_angle_gamma 74.61
loop_
_symmetry_equiv_pos_as_xyz
'x,y,z'
loop_
_atom_site_label
_atom_site_type_symbol
_atom_site_fract_x
_atom_site_fract_y
_atom_site_fract_z
Sm1 Sm 0.342 0.846 0.255
Sm2 Sm 0.846 0.342 0.255
Sm3 Sm 0.509 0.509 0.763
Sm4 Sm 0.658 0.154 0.745
Sm5 Sm 0.491 0.491 0.237
Sm6 Sm 0.820 0.820 0.956
Sm7 Sm 0.154 0.658 0.745
Sm8 Sm 0.180 0.180 0.044
Sm9 Sm 0.254 0.746 0.000
Sm10 Sm 0.746 0.254 0.000
Y1 Y 0.338 0.338 0.645
Y2 Y 0.000 0.000 0.500
Y3 Y 0.662 0.662 0.355
Y4 Y 0.315 0.315 0.176
Y5 Y 0.685 0.685 0.824
Y6 Y 0.000 0.000 0.000
Ho1 Ho 0.847 0.847 0.405
Ho2 Ho 0.153 0.153 0.595
# Density ... 5.8 g/cm3
# Energy above the lowest structure with this stoichiometry ... 0.339 eV per atom
# Final energy ... -0.1756 Ha/atom

---

# 4
# Al4ZnGa2 | Alexandria | PBE-GGA | optimized geometry
data_Al4ZnGa2
_chemical_formula_sum 'Al8 Zn2 Ga4'
_symmetry_space_group_name_H-M 'P 1'
_symmetry_Int_Tables_number 1
_cell_length_a 6.254
_cell_length_b 5.178
_cell_length_c 8.115
_cell_angle_alpha 90.00
_cell_angle_beta 109.61
_cell_angle_gamma 90.00
loop_
_symmetry_equiv_pos_as_xyz
'x,y,z'
loop_
_atom_site_label
_atom_site_type_symbol
_atom_site_fract_x
_atom_site_fract_y
_atom_site_fract_z
Al1 Al 0.617 0.001 0.236
Al2 Al 0.383 0.501 0.764
Al3 Al 0.383 0.999 0.764
Al4 Al 0.051 0.750 0.432
Al5 Al 0.001 0.250 0.224
Al6 Al 0.999 0.750 0.776
Al7 Al 0.617 0.499 0.236
Al8 Al 0.949 0.250 0.568
Ga1 Ga 0.757 0.750 0.994
Ga2 Ga 0.582 0.750 0.530
Ga3 Ga 0.243 0.250 0.006
Ga4 Ga 0.418 0.250 0.470
Zn1 Zn 0.793 0.250 0.847
Zn2 Zn 0.207 0.750 0.153
# Density ... 4.2 g/cm3
# Energy above the lowest structure with this stoichiometry ... 0.074 eV per atom
# Final energy ... -0.1138 Ha/atom

---

# 5
# ZnGe2Te | Alexandria | PBE-GGA | optimized geometry
data_ZnGe2Te
_chemical_formula_sum 'Zn2 Ge4 Te2'
_symmetry_space_group_name_H-M 'P 1'
_symmetry_Int_Tables_number 1
_cell_length_a 6.018
_cell_length_b 6.018
_cell_length_c 7.456
_cell_angle_alpha 66.20
_cell_angle_beta 66.20
_cell_angle_gamma 90.00
loop_
_symmetry_equiv_pos_as_xyz
'x,y,z'
loop_
_atom_site_label
_atom_site_type_symbol
_atom_site_fract_x
_atom_site_fract_y
_atom_site_fract_z
Ge1 Ge 0.580 0.125 0.250
Ge2 Ge 0.375 0.420 0.750
Ge3 Ge 0.170 0.625 0.250
Ge4 Ge 0.875 0.830 0.750
Zn1 Zn 0.500 0.500 0.000
Zn2 Zn 0.250 0.750 0.500
Te1 Te 0.000 0.000 0.000
Te2 Te 0.750 0.250 0.500
# Formation energy (no corrections) ... 0.14 eV/atom
# Density ... 5.1 g/cm3
# Energy above the lowest structure with this stoichiometry ... 0.000 eV per atom
# Final energy ... -0.1203 Ha/atom

---

# 6
# LiOs2Cl | Alexandria | PBE-GGA | optimized geometry
data_LiOs2Cl
_chemical_formula_sum 'Li1 Os2 Cl1'
_symmetry_space_group_name_H-M 'P 1'
_symmetry_Int_Tables_number 1
_cell_length_a 7.684
_cell_length_b 3.445
_cell_length_c 3.445
_cell_angle_alpha 90.00
_cell_angle_beta 90.00
_cell_angle_gamma 90.00
loop_
_symmetry_equiv_pos_as_xyz
'x,y,z'
loop_
_atom_site_label
_atom_site_type_symbol
_atom_site_fract_x
_atom_site_fract_y
_atom_site_fract_z
Li1 Li 0.500 0.000 0.500
Os1 Os 0.000 0.000 0.000
Os2 Os 0.000 0.500 0.500
Cl1 Cl 0.500 0.500 0.000
# Formation energy (no corrections) ... 0.53 eV/atom
# Density ... 7.7 g/cm3
# Energy above the lowest structure with this stoichiometry ... 0.408 eV per atom
# Final energy ... -0.2214 Ha/atom